[1]
VASP calculation (GGA-PBE) on crystalline DyEr2Sb at its relaxed geometry.

Lattice parameters (Å, degrees): 3.9675 3.9675 28.1655 90.00 90.00 120.00
Space group R3m (No. 160, hexagonal axes)
Symmetry-distinct sites (fractional):
1 Dy 0.0000 0.0000 0.0000 (multiplicity 3)
2 Er 0.0000 0.0000 0.2354 (multiplicity 3)
3 Er 0.0000 0.0000 0.4323 (multiplicity 3)
4 Sb 0.0000 0.0000 0.8344 (multiplicity 3)

Computed properties:
- Excess energy over the best structure of this formula in the dataset: 0.238 eV per atom
- Raw formation energy: -305 meV per atom


[2]
VASP calculation (GGA-PBE) on crystalline CePrSmTm at its relaxed geometry.

Lattice parameters (Å, degrees): 8.1099 8.1099 8.1099 90.00 90.00 90.00
Space group F-43m (No. 216)
Symmetry-distinct sites (fractional):
1 Ce 0.0000 0.0000 0.0000 (multiplicity 4)
2 Pr 0.2500 0.2500 0.7500 (multiplicity 4)
3 Sm 0.2500 0.2500 0.2500 (multiplicity 4)
4 Tm 0.0000 0.0000 0.5000 (multiplicity 4)

Computed properties:
- ΔH_f (0 K): 198 meV/atom


[3]
VASP calculation (GGA-PBE) on crystalline FeAg2Mo at its relaxed geometry.

Lattice parameters (Å, degrees): 2.7776 2.7776 28.6146 90.00 90.00 120.00
Space group R-3m (No. 166, hexagonal axes)
Symmetry-distinct sites (fractional):
1 Fe 0.0000 0.0000 0.0000 (multiplicity 3)
2 Ag 0.0000 0.0000 0.2529 (multiplicity 6)
3 Mo 0.0000 0.0000 0.5000 (multiplicity 3)

Computed properties:
- Excess energy over the best structure of this formula in the dataset: 0.218 eV per atom
- ΔH_f (0 K): 521 meV/atom


Number 1: calculated volume 32.00 A^3/atom. Number 2: calculated volume 33.34 A^3/atom. Number 3: calculated volume 15.93 A^3/atom.